Record 1
Density functional theory data (GGA-PBE) for a geometry-optimized CrSiCl2 structure.

Unit cell a=3.0523 b=3.0526 c=10.1455 alpha=90.00 beta=90.00 gamma=90.00
Closest atoms and distances in Å follow each position.
Atoms (fractional coordinates):
Cl (0.0000, 0.0000, 0.0986)  4 Cr 2.65
Cl (0.0000, 0.0000, 0.4014)  4 Cr 2.65
Cr (0.5000, 0.5000, 0.2500)  8 Cl 2.65
Si (0.5000, 0.5000, 0.7500)  4 Si 3.05

Properties
The value obtained for the calculated volume is 94.5 Å³/cell. The calculation puts the uncorrected energy at -4.489 eV/atom. The uncorrected formation energy comes out at 0.20 eV per atom. As for the symmetry: P4/mmm, No. 123.

Record 2
Density functional theory data (GGA-PBE) for a geometry-optimized CrSiCl4 structure.

Unit cell a=5.8407 b=5.8407 c=5.8407 alpha=60.00 beta=60.00 gamma=60.00
Closest atoms and distances in Å follow each position.
Atoms (fractional coordinates):
Cl (0.3756, 0.3756, 0.8731)  6 Cl 2.91-2.93
Cl (0.3756, 0.8731, 0.3756)  6 Cl 2.91-2.93
Cl (0.8731, 0.3756, 0.3756)  6 Cl 2.91-2.93
Cl (0.3756, 0.3756, 0.3756)  6 Cl 2.91-2.93
Cr (0.7500, 0.7500, 0.7500)  12 Cl 3.42, 4 Si 3.58
Si (0.0000, 0.0000, 0.0000)  12 Cl 3.43, 4 Cr 3.58

Properties
The value obtained for the calculated volume is 140.9 Å³/cell. The calculation puts the uncorrected energy at -2.866 eV/atom. The uncorrected formation energy comes out at 0.87 eV per atom. As for the symmetry: F-43m, No. 216.

Record 3
Density functional theory data (GGA-PBE) for a geometry-optimized CrSi2Cl structure.

Unit cell a=4.5578 b=4.5578 c=4.5578 alpha=120.04 beta=120.04 gamma=89.93
Closest atoms and distances in Å follow each position.
Atoms (fractional coordinates):
Cr (0.7500, 0.2500, 0.5000)  4 Cl 2.79, 4 Si 2.79
Cl (0.5000, 0.5000, 0.0000)  4 Cr 2.79, 4 Si 2.79
Si (0.0000, 0.0000, 0.0000)  4 Si 2.79, 4 Cr 2.79
Si (0.2500, 0.7500, 0.5000)  4 Cl 2.79, 4 Si 2.79

Properties
The value obtained for the calculated volume is 66.9 Å³/cell. The calculation puts the uncorrected energy at -5.007 eV/atom. The uncorrected formation energy comes out at 0.57 eV per atom. As for the symmetry: F-43m, No. 216.

Record 4
Density functional theory data (GGA-PBE) for a geometry-optimized CrSi2Cl structure.

Unit cell a=4.3905 b=4.3905 c=4.3905 alpha=60.00 beta=60.00 gamma=60.00
Closest atoms and distances in Å follow each position.
Atoms (fractional coordinates):
Cr (0.5000, 0.5000, 0.5000)  8 Si 2.69
Si (0.2500, 0.2500, 0.2500)  4 Cr 2.69, 4 Cl 2.69
Si (0.7500, 0.7500, 0.7500)  4 Cl 2.69, 4 Cr 2.69
Cl (0.0000, 0.0000, 0.0000)  8 Si 2.69

Properties
The value obtained for the calculated volume is 59.8 Å³/cell. The calculation puts the uncorrected energy at -4.554 eV/atom. The uncorrected formation energy comes out at 1.02 eV per atom. As for the symmetry: Fm-3m, No. 225.

Record 5
Density functional theory data (GGA-PBE) for a geometry-optimized CrSiCl2 structure.

Unit cell a=3.1890 b=5.6919 c=4.1856 alpha=90.00 beta=90.00 gamma=90.00
Closest atoms and distances in Å follow each position.
Atoms (fractional coordinates):
Cl (0.5000, 0.5000, 0.0000)  4 Si 2.63
Cl (0.0000, 0.0000, 0.0000)  4 Cr 2.63
Cr (0.5000, 0.0000, 0.5000)  4 Cl 2.63
Si (0.0000, 0.5000, 0.5000)  4 Cl 2.63

Properties
The value obtained for the calculated volume is 76.0 Å³/cell. The calculation puts the uncorrected energy at -4.565 eV/atom. The uncorrected formation energy comes out at 0.12 eV per atom. As for the symmetry: Pmmm, No. 47.

Record 6
Density functional theory data (GGA-PBE) for a geometry-optimized CrSiCl2 structure.

Unit cell a=4.7654 b=4.7654 c=6.8929 alpha=78.99 beta=78.99 gamma=37.43
Closest atoms and distances in Å follow each position.
Atoms (fractional coordinates):
Cl (0.0351, 0.0351, 0.1102)  1 Si 2.32, 2 Cr 2.47
Cl (0.8430, 0.8430, 0.6397)  2 Cr 2.35
Si (0.1739, 0.1739, 0.3590)  1 Cl 2.32, 3 Cr 2.52-2.53
Cr (0.4479, 0.4479, 0.3911)  4 Cl 2.35-2.47, 3 Si 2.52-2.53

Properties
The value obtained for the calculated volume is 93.2 Å³/cell. The calculation puts the uncorrected energy at -4.916 eV/atom. The uncorrected formation energy comes out at -0.23 eV per atom. As for the symmetry: Cm, No. 8.